# 1
{
  "formula": "La3CrRu",
  "functional": "PBE-GGA",
  "state": "optimized geometry",
  "cell": [[5.504, 0.000, 0.000], [0.000, 5.504, 0.000], [0.000, 0.000, 5.504]],
  "species": ["La", "La", "La", "Cr", "Ru"],
  "fractional_positions": [[0.000, 0.000, 0.500], [0.000, 0.500, 0.000], [0.500, 0.000, 0.000], [0.500, 0.500, 0.500], [0.000, 0.000, 0.000]],
  "e_form_ev_per_atom": 0.1937,
  "relative_energy_mev_per_atom": 0
}

# 2
{
  "formula": "MgBrO2",
  "functional": "PBE-GGA",
  "state": "optimized geometry",
  "cell": [[6.612, 0.000, 0.000], [0.000, 6.559, 0.000], [0.000, 0.000, 6.413]],
  "species": ["Mg", "Mg", "Mg", "Mg", "Br", "Br", "Br", "Br", "O", "O", "O", "O", "O", "O", "O", "O"],
  "fractional_positions": [[0.007, 0.120, 0.000], [0.493, 0.620, 0.500], [0.507, 0.380, 0.000], [0.993, 0.880, 0.500], [0.100, 0.414, 0.624], [0.400, 0.914, 0.124], [0.600, 0.086, 0.624], [0.900, 0.586, 0.124], [0.011, 0.127, 0.685], [0.209, 0.687, 0.577], [0.291, 0.187, 0.077], [0.489, 0.627, 0.185], [0.511, 0.373, 0.685], [0.709, 0.813, 0.577], [0.791, 0.313, 0.077], [0.989, 0.873, 0.185]],
  "relative_energy_mev_per_atom": 202
}